[1]
The following is a GGA-PBE calculation of crystalline HgB2I at its relaxed geometry, from the Alexandria database.

The structure in CIF format:
```
data_HgB2I
_space_group_name_H-M_alt 'P 1'
_space_group_IT_number 1
_cell_length_a 5.4936
_cell_length_b 5.4936
_cell_length_c 6.6726
_cell_angle_alpha 65.69
_cell_angle_beta 65.69
_cell_angle_gamma 90.00
loop_
_space_group_symop_operation_xyz
'x,y,z'
loop_
_atom_site_label
_atom_site_type_symbol
_atom_site_fract_x
_atom_site_fract_y
_atom_site_fract_z
B1 B 0.6562 0.1250 0.2500
I1 I 0.5000 0.5000 0.0000
Hg1 Hg 0.7500 0.2500 0.5000
I2 I 0.2500 0.7500 0.5000
B2 B 0.8750 0.9062 0.7500
B3 B 0.3750 0.3438 0.7500
B4 B 0.0938 0.6250 0.2500
Hg2 Hg 0.0000 0.0000 0.0000
```

Values from the calculation:
* N(E_F): 1.80 states/eV/f.u.
* ΔE to the lowest computed polymorph: 0 meV per atom
* raw formation energy: 1439 meV/atom
* size of the total moment: 0.00 μB/cell

[2]
The following is a GGA-PBE calculation of crystalline HgBI2N at its relaxed geometry, from the Alexandria database.

The structure in CIF format:
```
data_HgBI2N
_space_group_name_H-M_alt 'P 1'
_space_group_IT_number 1
_cell_length_a 7.7433
_cell_length_b 7.7433
_cell_length_c 2.7542
_cell_angle_alpha 90.00
_cell_angle_beta 90.00
_cell_angle_gamma 90.00
loop_
_space_group_symop_operation_xyz
'x,y,z'
loop_
_atom_site_label
_atom_site_type_symbol
_atom_site_fract_x
_atom_site_fract_y
_atom_site_fract_z
I1 I 0.5000 0.0000 0.0000
Hg1 Hg 0.5000 0.5000 0.5000
N1 N 0.0000 0.0000 0.5000
I2 I 0.0000 0.5000 0.0000
B1 B 0.0000 0.0000 0.0000
```

Values from the calculation:
* N(E_F): 0.60 states/eV/f.u.
* ΔE to the lowest computed polymorph: 0 meV per atom
* raw formation energy: -78 meV/atom
* size of the total moment: 0.00 μB/cell

[3]
The following is a GGA-PBE calculation of crystalline HgBIN2 at its relaxed geometry, from the Alexandria database.

The structure in CIF format:
```
data_HgBIN2
_space_group_name_H-M_alt 'P 1'
_space_group_IT_number 1
_cell_length_a 4.2114
_cell_length_b 4.2114
_cell_length_c 8.4014
_cell_angle_alpha 90.00
_cell_angle_beta 90.00
_cell_angle_gamma 90.00
loop_
_space_group_symop_operation_xyz
'x,y,z'
loop_
_atom_site_label
_atom_site_type_symbol
_atom_site_fract_x
_atom_site_fract_y
_atom_site_fract_z
I1 I 0.0000 0.0000 0.5000
Hg1 Hg 0.0000 0.0000 0.0000
N1 N 0.0000 0.5000 0.0000
N2 N 0.5000 0.0000 0.0000
B1 B 0.5000 0.5000 0.5000
```

Values from the calculation:
* N(E_F): 0.96 states/eV/f.u.
* ΔE to the lowest computed polymorph: 587 meV per atom
* raw formation energy: 2482 meV/atom
* size of the total moment: 3.35 μB/cell

[4]
The following is a GGA-PBE calculation of crystalline HgBI2N at its relaxed geometry, from the Alexandria database.

The structure in CIF format:
```
data_HgBI2N
_space_group_name_H-M_alt 'P 1'
_space_group_IT_number 1
_cell_length_a 6.1369
_cell_length_b 6.1369
_cell_length_c 4.1731
_cell_angle_alpha 90.00
_cell_angle_beta 90.00
_cell_angle_gamma 90.00
loop_
_space_group_symop_operation_xyz
'x,y,z'
loop_
_atom_site_label
_atom_site_type_symbol
_atom_site_fract_x
_atom_site_fract_y
_atom_site_fract_z
N1 N 0.0000 0.0000 0.5000
Hg1 Hg 0.0000 0.0000 0.0000
B1 B 0.5000 0.5000 0.5000
I1 I 0.5000 0.0000 0.0000
I2 I 0.0000 0.5000 0.0000
```

Values from the calculation:
* N(E_F): 1.60 states/eV/f.u.
* ΔE to the lowest computed polymorph: 1814 meV per atom
* raw formation energy: 1736 meV/atom
* size of the total moment: 1.93 μB/cell

[5]
The following is a GGA-PBE calculation of crystalline HgBIN2 at its relaxed geometry, from the Alexandria database.

The structure in CIF format:
```
data_HgBIN2
_space_group_name_H-M_alt 'P 1'
_space_group_IT_number 1
_cell_length_a 3.6990
_cell_length_b 3.6990
_cell_length_c 6.6972
_cell_angle_alpha 90.00
_cell_angle_beta 90.00
_cell_angle_gamma 90.00
loop_
_space_group_symop_operation_xyz
'x,y,z'
loop_
_atom_site_label
_atom_site_type_symbol
_atom_site_fract_x
_atom_site_fract_y
_atom_site_fract_z
I1 I 0.0000 0.0000 0.5000
N1 N 0.0000 0.5000 0.0000
Hg1 Hg 0.5000 0.5000 0.5000
N2 N 0.5000 0.0000 0.0000
B1 B 0.0000 0.0000 0.0000
```

Values from the calculation:
* N(E_F): 1.70 states/eV/f.u.
* ΔE to the lowest computed polymorph: 0 meV per atom
* raw formation energy: 1895 meV/atom
* size of the total moment: 0.63 μB/cell

[6]
The following is a GGA-PBE calculation of crystalline NbHg2BI at its relaxed geometry, from the Alexandria database.

The structure in CIF format:
```
data_NbHg2BI
_space_group_name_H-M_alt 'P 1'
_space_group_IT_number 1
_cell_length_a 7.6828
_cell_length_b 5.4291
_cell_length_c 7.6828
_cell_angle_alpha 90.00
_cell_angle_beta 90.00
_cell_angle_gamma 90.00
loop_
_space_group_symop_operation_xyz
'x,y,z'
loop_
_atom_site_label
_atom_site_type_symbol
_atom_site_fract_x
_atom_site_fract_y
_atom_site_fract_z
Nb1 Nb 0.0000 0.5000 0.0000
B1 B 0.5000 0.5000 0.5000
Hg1 Hg 0.0000 0.0000 0.5000
Hg2 Hg 0.5000 0.0000 0.0000
I1 I 0.0000 0.0000 0.0000
```

Values from the calculation:
* N(E_F): 6.74 states/eV/f.u.
* ΔE to the lowest computed polymorph: 41 meV per atom
* raw formation energy: 1990 meV/atom
* size of the total moment: 5.00 μB/cell